DFT (PBEsol) results for crystalline YHgSb2I at its relaxed geometry.

Structure (POSCAR):
```
YHgSb2I
1.0
-2.859 -1.409 4.847
-0.962 -5.316 -2.113
4.959 -1.847 2.389
Hg Sb I Y
1 2 1 1
Direct
0.500 0.500 0.500
0.000 0.500 0.000
0.500 0.000 0.000
0.000 0.000 0.500
0.000 0.000 0.000
```

Total energy (eV/atom): -3.561
Uncorrected formation energy (eV/atom): 0.093
Symmetry: No. 123

=====

DFT (PBEsol) results for crystalline EuY2O4 at its relaxed geometry.

Structure (POSCAR):
```
EuY2O4
1.0
3.378 0.000 0.000
0.000 9.824 0.000
0.000 0.000 11.790
O Y Eu
16 8 4
Direct
0.750 0.926 0.580
0.250 0.574 0.080
0.250 0.785 0.317
0.750 0.632 0.518
0.750 0.132 0.982
0.250 0.868 0.018
0.750 0.426 0.920
0.750 0.509 0.284
0.750 0.009 0.216
0.750 0.715 0.817
0.250 0.074 0.420
0.250 0.491 0.716
0.250 0.991 0.784
0.750 0.215 0.683
0.250 0.285 0.183
0.250 0.368 0.482
0.250 0.583 0.889
0.250 0.074 0.112
0.750 0.426 0.612
0.750 0.917 0.389
0.250 0.083 0.611
0.750 0.926 0.888
0.250 0.574 0.388
0.750 0.417 0.111
0.250 0.251 0.850
0.750 0.749 0.150
0.250 0.751 0.650
0.750 0.249 0.350
```

Total energy (eV/atom): -9.852
Uncorrected formation energy (eV/atom): -3.394
Symmetry: No. 62
Energy above the most stable polymorph in this dataset (eV per atom): 0.000

=====

DFT (PBEsol) results for crystalline TbCo9Si2 at its relaxed geometry.

Structure (POSCAR):
```
TbCo9Si2
1.0
6.178 0.000 0.000
3.089 6.728 0.000
3.089 0.000 6.728
Co Si Tb
18 4 2
Direct
0.316 0.082 0.670
0.068 0.330 0.918
0.682 0.170 0.582
0.148 0.170 0.418
0.068 0.918 0.330
0.316 0.670 0.082
0.602 0.330 0.082
0.736 0.830 0.582
0.736 0.582 0.830
0.148 0.418 0.170
0.014 0.918 0.670
0.434 0.830 0.418
0.000 0.000 0.000
0.434 0.418 0.830
0.750 0.500 0.500
0.014 0.670 0.918
0.602 0.082 0.330
0.682 0.582 0.170
0.875 0.250 0.750
0.875 0.250 0.250
0.375 0.750 0.750
0.875 0.750 0.250
0.250 0.500 0.500
0.500 0.000 0.000
```

Total energy (eV/atom): -7.534
Uncorrected formation energy (eV/atom): -0.356
Symmetry: No. 141

=====

DFT (PBEsol) results for crystalline La2MgCd2 at its relaxed geometry.

Structure (POSCAR):
```
La2MgCd2
1.0
-0.830 4.187 -1.705
-4.241 -1.321 -1.180
0.106 0.679 7.811
Cd Mg La
2 1 2
Direct
0.592 0.592 0.184
0.408 0.408 0.816
0.000 0.000 0.000
0.750 0.250 0.500
0.250 0.750 0.500
```

Total energy (eV/atom): -2.858
Energy relative to the elements (eV per atom): 0.102
Symmetry: No. 139
Energy above the most stable polymorph in this dataset (eV per atom): 0.344

=====

DFT (PBEsol) results for crystalline PRuSe2 at its relaxed geometry.

Structure (POSCAR):
```
PRuSe2
1.0
-1.310 2.477 1.026
-0.587 -2.967 2.075
5.824 1.796 3.104
P Ru Se
1 1 2
Direct
0.500 0.000 0.000
0.000 0.000 0.500
0.279 0.558 0.283
0.721 0.442 0.717
```

Total energy (eV/atom): -5.706
Uncorrected formation energy (eV/atom): 0.210
Symmetry: No. 12

=====

DFT (PBEsol) results for crystalline YAl2Os at its relaxed geometry.

Structure (POSCAR):
```
YAl2Os
1.0
-0.700 2.869 1.315
-2.988 -0.169 -1.222
-2.155 -3.142 5.705
Os Al Y
1 2 1
Direct
0.000 0.000 0.445
0.500 0.500 0.281
0.000 0.000 0.052
0.500 0.500 0.723
```

Total energy (eV/atom): -7.131
Energy relative to the elements (eV per atom): -0.326
Symmetry: No. 99